Record 1
A plane-wave DFT calculation with GGA-PBE was carried out for Ba2LaPb after structural relaxation.

The value obtained for the energy of formation is -0.11 eV per atom.

Lattice parameters (Å, degrees): 3.9722 3.9722 11.1614 90.00 90.00 90.00
Last column: nearest neighbours and their distance in Å.
Space group P4/mmm (No. 123)
Unique sites:
Ba: 0.0000 0.0000 0.2125  4 Pb 3.68, 4 Ba 3.97
La: 0.5000 0.5000 0.5000  4 La 3.97, 8 Ba 4.26
Pb: 0.5000 0.5000 0.0000  8 Ba 3.68, 4 Pb 3.97

***

Record 2
A plane-wave DFT calculation with GGA-PBE was carried out for CaLa2RuI after structural relaxation.

The calculation puts the energy at -24.747 eV/cell.

Lattice parameters (Å, degrees): 5.3899 5.3899 6.0378 90.00 90.00 90.00
Last column: nearest neighbours and their distance in Å.
Space group P4/mmm (No. 123)
Unique sites:
Ca: 0.0000 0.0000 0.0000  2 Ru 3.02
La: 0.0000 0.5000 0.5000  2 Ru 2.69
Ru: 0.0000 0.0000 0.5000  4 La 2.69
I: 0.5000 0.5000 0.0000  4 Ca 3.81, 8 La 4.05

***

Number 1: total magnetic moment 0.00 μB per formula unit. Number 2: total magnetic moment 0.00 μB per formula unit.